[1]
An optimized crystal structure of LiLaZrRu. Source: Alexandria, functional PBE.

- DFT formation energy: -26.7 kJ/mol of formula units
- DOS(E_F): 5.280 states/eV/f.u.
- Space-group type: F-43m, No. 216

```
LiLaZrRu
1.0
0.0000 3.4696 3.4696
3.4696 0.0000 3.4696
3.4696 3.4696 0.0000
Li La Zr Ru
1 1 1 1
Cartesian
0.0000 0.0000 0.0000
5.2044 5.2044 5.2044
1.7348 1.7348 1.7348
3.4696 3.4696 3.4696
```



[2]
An optimized crystal structure of Li2LaS2. Source: Alexandria, functional PBE.

- Formation energy without anion corrections: -1220.2 meV per atom
- DOS(E_F): 1.580 states/eV/f.u.
- Space-group type: P4/mbm, No. 127
- Offset from the most stable computed form: 1.53 eV per formula unit

```
Li2LaS2
1.0
7.5746 0.0000 0.0000
0.0000 7.5746 0.0000
0.0000 0.0000 3.6870
Li La S
4 2 4
Cartesian
0.9893 2.7980 0.0000
2.7980 6.5853 0.0000
4.7766 0.9893 0.0000
6.5853 4.7766 0.0000
0.0000 0.0000 1.8435
3.7873 3.7873 1.8435
1.2847 5.0720 1.8435
2.5026 1.2847 1.8435
5.0720 6.2899 1.8435
6.2899 2.5026 1.8435
```



[3]
An optimized crystal structure of LiLaS. Source: Alexandria, functional PBE.

- Formation energy without anion corrections: -1241.6 meV per atom
- DOS(E_F): 1.326 states/eV/f.u.
- Space-group type: R3m, No. 160
- Offset from the most stable computed form: 0.05 eV per formula unit

```
LiLaS
1.0
2.0152 1.1635 9.2069
-2.0152 1.1635 9.2069
0.0000 -2.3269 9.2069
Li La S
2 2 2
Cartesian
0.0000 0.0000 0.0000
0.0000 0.0000 4.5321
0.0000 0.0000 16.2044
0.0000 0.0000 20.5881
0.0000 0.0000 9.2182
0.0000 0.0000 13.3022
```



no.,size of the total moment (μB per cell)
1,0.0
2,0.0
3,0.0